<P>
A plane-wave DFT calculation with PBE was carried out for a relaxed BaSbSI2 crystal.

```
BaSbSI2
1.0
5.719 0.000 0.000
0.000 5.719 0.000
0.000 0.000 5.414
I Sb S Ba
2 1 1 1
Direct
0.000 0.500 0.000
0.500 0.000 0.000
0.000 0.000 0.500
0.000 0.000 0.000
0.500 0.500 0.500
```

=====

<Q>
A plane-wave DFT calculation with PBE was carried out for a relaxed BaSbSI2 crystal.

```
BaSbSI2
1.0
6.565 0.000 0.000
0.000 6.565 0.000
0.000 0.000 7.154
I Sb S Ba
2 1 1 1
Direct
0.000 0.500 0.000
0.500 0.000 0.000
0.000 0.000 0.500
0.500 0.500 0.500
0.000 0.000 0.000
```

=====

Which structure is the least stable? The one labeled <Q>.

=====

<P>
A plane-wave DFT calculation with PBE was carried out for a relaxed BaTeSI2 crystal.

```
BaTeSI2
1.0
-5.979 2.779 -1.288
0.622 -1.664 -6.479
-3.184 -6.249 1.299
I S Te Ba
2 1 1 1
Direct
0.000 0.500 0.000
0.500 0.000 0.000
0.500 0.500 0.500
0.000 0.000 0.500
0.000 0.000 0.000
```

=====

<Q>
A plane-wave DFT calculation with PBE was carried out for a relaxed BaTeSI2 crystal.

```
BaTeSI2
1.0
-0.076 4.139 3.866
1.967 -3.606 3.900
5.195 1.364 -1.358
I S Te Ba
2 1 1 1
Direct
0.000 0.500 0.000
0.500 0.000 0.000
0.000 0.000 0.000
0.000 0.000 0.500
0.500 0.500 0.500
```

=====

Which structure is the least stable? The one labeled <P>.

=====

<P>
A plane-wave DFT calculation with PBE was carried out for a relaxed BaSb3I crystal.

```
BaSb3I
1.0
-5.724 -1.232 -0.175
1.238 -5.550 -1.409
0.130 -1.414 5.683
I Sb Ba
1 3 1
Direct
0.000 0.000 0.000
0.000 0.500 0.000
0.000 0.000 0.500
0.500 0.000 0.000
0.500 0.500 0.500
```

=====

<Q>
A plane-wave DFT calculation with PBE was carried out for a relaxed BaSb3I crystal.

```
BaSb3I
1.0
-6.076 -1.830 0.480
1.591 -5.815 -2.037
1.024 -1.825 6.010
I Sb Ba
1 3 1
Direct
0.500 0.500 0.500
0.000 0.500 0.000
0.000 0.000 0.500
0.500 0.000 0.000
0.000 0.000 0.000
```

=====

Which structure is the least stable? The one labeled <Q>.

=====

<P>
A plane-wave DFT calculation with PBE was carried out for a relaxed Ba2Sb2I crystal.

```
Ba2Sb2I
1.0
6.549 0.000 0.000
0.000 6.549 0.000
3.275 3.275 5.284
I Sb Ba
1 2 2
Direct
0.000 0.000 0.000
0.369 0.369 0.261
0.631 0.631 0.739
0.750 0.250 0.500
0.250 0.750 0.500
```

=====

<Q>
A plane-wave DFT calculation with PBE was carried out for a relaxed Ba2Sb2I crystal.

```
Ba2Sb2I
1.0
5.017 0.000 -1.379
0.000 4.799 0.000
-0.066 0.000 9.574
Ba Sb I
2 2 1
Direct
0.147 0.500 0.295
0.853 0.500 0.705
0.290 0.000 0.580
0.710 0.000 0.420
0.000 0.000 0.000
```

=====

<R>
A plane-wave DFT calculation with PBE was carried out for a relaxed Ba2Sb2I crystal.

```
Ba2Sb2I
1.0
9.553 0.000 0.000
0.000 9.553 0.000
0.000 0.000 4.618
I Sb Ba
2 4 4
Direct
0.000 0.000 0.000
0.500 0.500 0.000
0.103 0.603 0.500
0.603 0.897 0.500
0.897 0.397 0.500
0.397 0.103 0.500
0.317 0.817 0.000
0.817 0.683 0.000
0.683 0.183 0.000
0.183 0.317 0.000
```

=====

Which structure is the least stable? The one labeled <P>.

=====

<P>
A plane-wave DFT calculation with PBE was carried out for a relaxed Ba3SbI2 crystal.

```
Ba3SbI2
1.0
-1.510 0.614 4.785
-6.244 -2.878 -1.602
6.588 -5.714 0.143
Ba Sb I
3 1 2
Direct
0.349 0.349 0.698
0.000 0.000 0.000
0.651 0.651 0.302
0.000 0.500 0.000
0.671 0.171 0.341
0.329 0.829 0.659
```

=====

<Q>
A plane-wave DFT calculation with PBE was carried out for a relaxed Ba3SbI2 crystal.

```
Ba3SbI2
1.0
-8.310 -2.063 -1.690
5.074 -6.955 -1.432
-0.236 0.197 15.940
Ba Sb I
12 4 8
Direct
0.162 0.683 0.825
0.664 0.143 0.825
0.088 0.067 0.675
0.586 0.607 0.675
0.023 0.523 0.500
0.477 0.977 0.500
0.393 0.414 0.325
0.933 0.912 0.325
0.857 0.336 0.175
0.317 0.838 0.175
0.227 0.227 0.000
0.773 0.773 0.000
0.916 0.916 0.833
0.334 0.834 0.667
0.166 0.666 0.333
0.084 0.084 0.167
0.998 0.498 0.997
0.419 0.419 0.838
0.831 0.331 0.662
0.252 0.252 0.503
0.748 0.748 0.497
0.669 0.169 0.338
0.581 0.581 0.162
0.502 0.002 0.003
```

=====

Which structure is the least stable? The one labeled <P>.

=====

<P>
A plane-wave DFT calculation with PBE was carried out for a relaxed Ba3SbI crystal.

```
Ba3SbI
1.0
-2.184 -6.058 -1.841
-0.954 -1.610 6.431
-6.259 2.359 -0.338
I Sb Ba
1 1 3
Direct
0.500 0.500 0.500
0.000 0.000 0.000
0.000 0.500 0.000
0.000 0.000 0.500
0.500 0.000 0.000
```

=====

<Q>
A plane-wave DFT calculation with PBE was carried out for a relaxed Ba3SbI crystal.

```
Ba3SbI
1.0
-3.923 -3.039 0.746
7.831 -4.917 4.288
-4.338 7.601 8.135
Ba Sb I
6 2 2
Direct
0.174 0.348 0.564
0.633 0.266 0.063
0.019 0.038 0.243
0.826 0.652 0.436
0.981 0.962 0.757
0.367 0.734 0.937
0.358 0.717 0.645
0.642 0.283 0.355
0.173 0.347 0.862
0.827 0.653 0.138
```

=====

Which structure is the least stable? The one labeled <P>.

=====

<P>
A plane-wave DFT calculation with PBE was carried out for a relaxed BaSbSeI2 crystal.

```
BaSbSeI2
1.0
6.531 0.000 0.000
0.000 6.531 0.000
0.000 0.000 7.170
I Sb Ba Se
2 1 1 1
Direct
0.000 0.500 0.000
0.500 0.000 0.000
0.000 0.000 0.500
0.000 0.000 0.000
0.500 0.500 0.500
```

=====

<Q>
A plane-wave DFT calculation with PBE was carried out for a relaxed BaSbSeI2 crystal.

```
BaSbSeI2
1.0
5.878 0.000 0.000
0.000 5.878 0.000
0.000 0.000 5.600
I Sb Ba Se
2 1 1 1
Direct
0.000 0.500 0.000
0.500 0.000 0.000
0.000 0.000 0.500
0.500 0.500 0.500
0.000 0.000 0.000
```

=====

Which structure is the least stable? The one labeled <P>.

=====

<P>
A plane-wave DFT calculation with PBE was carried out for a relaxed BaSiSb2I crystal.

```
BaSiSb2I
1.0
-3.639 -0.261 -5.472
4.285 -4.229 -2.648
-3.340 -4.923 2.456
I Sb Si Ba
1 2 1 1
Direct
0.000 0.000 0.500
0.000 0.500 0.000
0.500 0.000 0.000
0.500 0.500 0.500
0.000 0.000 0.000
```

=====

<Q>
A plane-wave DFT calculation with PBE was carried out for a relaxed BaSiSb2I crystal.

```
BaSiSb2I
1.0
5.272 0.000 0.000
0.000 5.272 0.000
0.000 0.000 6.211
I Sb Si Ba
1 2 1 1
Direct
0.000 0.000 0.500
0.000 0.500 0.000
0.500 0.000 0.000
0.000 0.000 0.000
0.500 0.500 0.500
```

=====

Which structure is the least stable? The one labeled <P>.

=====

<P>
A plane-wave DFT calculation with PBE was carried out for a relaxed BaSnSbI2 crystal.

```
BaSnSbI2
1.0
6.492 0.000 0.000
0.000 6.492 0.000
0.000 0.000 6.930
I Sb Ba Sn
2 1 1 1
Direct
0.000 0.500 0.000
0.500 0.000 0.000
0.000 0.000 0.500
0.000 0.000 0.000
0.500 0.500 0.500
```

=====

<Q>
A plane-wave DFT calculation with PBE was carried out for a relaxed BaSnSbI2 crystal.

```
BaSnSbI2
1.0
-5.054 3.027 1.345
-2.823 -2.652 -4.638
-1.684 -4.381 3.531
I Sb Ba Sn
2 1 1 1
Direct
0.000 0.500 0.000
0.500 0.000 0.000
0.000 0.000 0.500
0.500 0.500 0.500
0.000 0.000 0.000
```

=====

Which structure is the least stable? The one labeled <P>.

=====

<P>
A plane-wave DFT calculation with PBE was carried out for a relaxed BaSnSb2I crystal.

```
BaSnSb2I
1.0
-5.344 -1.245 3.266
-0.531 -5.607 -3.007
3.443 -2.779 4.574
I Sb Ba Sn
1 2 1 1
Direct
0.000 0.000 0.500
0.000 0.500 0.000
0.500 0.000 0.000
0.000 0.000 0.000
0.500 0.500 0.500
```

=====

<Q>
A plane-wave DFT calculation with PBE was carried out for a relaxed BaSnSb2I crystal.

```
BaSnSb2I
1.0
-1.666 -3.919 3.752
-0.002 -3.925 -4.100
6.013 -1.335 1.276
I Sb Ba Sn
1 2 1 1
Direct
0.000 0.000 0.500
0.000 0.500 0.000
0.500 0.000 0.000
0.500 0.500 0.500
0.000 0.000 0.000
```

=====

Which structure is the least stable? The one labeled <P>.

=====

<P>
A plane-wave DFT calculation with PBE was carried out for a relaxed BaSrSb2I crystal.

```
BaSrSb2I
1.0
-3.749 2.541 4.001
-2.428 -5.411 1.161
4.215 -0.919 4.534
I Sb Ba Sr
1 2 1 1
Direct
0.000 0.000 0.500
0.000 0.500 0.000
0.500 0.000 0.000
0.500 0.500 0.500
0.000 0.000 0.000
```

=====

<Q>
A plane-wave DFT calculation with PBE was carried out for a relaxed BaSrSb2I crystal.

```
BaSrSb2I
1.0
6.193 0.000 0.000
0.000 6.193 0.000
0.000 0.000 6.476
I Sb Ba Sr
1 2 1 1
Direct
0.000 0.000 0.500
0.000 0.500 0.000
0.500 0.000 0.000
0.000 0.000 0.000
0.500 0.500 0.500
```

=====

Which structure is the least stable? The one labeled <Q>.

=====

<P>
A plane-wave DFT calculation with PBE was carried out for a relaxed BaTaSbI2 crystal.

```
BaTaSbI2
1.0
-5.793 2.189 2.273
1.437 -2.401 5.974
2.971 6.072 1.726
I Sb Ba Ta
2 1 1 1
Direct
0.000 0.500 0.000
0.500 0.000 0.000
0.000 0.000 0.500
0.000 0.000 0.000
0.500 0.500 0.500
```

=====

<Q>
A plane-wave DFT calculation with PBE was carried out for a relaxed BaTaSbI2 crystal.

```
BaTaSbI2
1.0
5.732 0.000 0.000
0.000 5.732 0.000
0.000 0.000 5.470
I Sb Ba Ta
2 1 1 1
Direct
0.000 0.500 0.000
0.500 0.000 0.000
0.000 0.000 0.500
0.500 0.500 0.500
0.000 0.000 0.000
```

=====

Which structure is the least stable? The one labeled <P>.